Dy6P3Se2S: relaxed, PBE.

a = 9.013 Å, b = 9.013 Å, c = 8.071 Å
α = 103.66°, β = 103.66°, γ = 25.66°
Element x y z (fractional)
Dy: 0.005 0.005 0.246
Dy: 0.332 0.332 0.429
Dy: 0.338 0.338 0.904
Dy: 0.662 0.662 0.096
Dy: 0.668 0.668 0.571
Dy: 0.995 0.995 0.754
P: 0.167 0.167 0.335
P: 0.500 0.500 0.000
P: 0.833 0.833 0.665
Se: 0.166 0.166 0.834
Se: 0.834 0.834 0.166
S: 0.500 0.500 0.500

## Properties
formation energy (no corrections)	-1.81	eV per atom
final energy	-6.39	eV/atom